PmTl3As2O8: relaxed, PBE.

abc: 6.0612 6.0612 8.0058
angles: 90.00 90.00 120.00
Closest atoms and distances in Å follow each position.
Space group P-3m1 (No. 164)
Inequivalent atoms, fractional coordinates:
Pm 0.0000 0.0000 0.0000  6 O 2.34
Tl 0.0000 0.0000 0.5000  12 O 3.21-3.51
Tl 0.3333 0.6667 0.2290  1 O 2.47
As 0.3333 0.6667 0.7481  4 O 1.69-1.74
O 0.1787 0.3575 0.8256  1 As 1.74
O 0.3333 0.6667 0.5373  1 As 1.69

Output
Raw formation energy   -22.00 eV per formula unit
V   254.7 Å³/cell
Calculated total energy   -5.915 eV per atom